Entry 1:
A geometry-optimized Sm2HoEr6 structure, computed with GGA-PBE.

a b c (Å): 9.5135 9.5135 6.5161
angles (deg): 99.26 99.26 95.99
Sites, in units of the cell vectors:
Sm  0.1178  0.1678  0.3722
Sm  0.1678  0.1178  0.8722
Sm  0.8322  0.8822  0.1278
Sm  0.8822  0.8322  0.6278
Ho  0.3816  0.6184  0.7500
Ho  0.6184  0.3816  0.2500
Er  0.0388  0.4406  0.7299
Er  0.1515  0.7765  0.9965
Er  0.2235  0.8485  0.5035
Er  0.2783  0.4567  0.1852
Er  0.4406  0.0388  0.2299
Er  0.4567  0.2783  0.6852
Er  0.5433  0.7217  0.3148
Er  0.5594  0.9612  0.7701
Er  0.7217  0.5433  0.8148
Er  0.7765  0.1515  0.4965
Er  0.8485  0.2235  0.0035
Er  0.9612  0.5594  0.2701

size of the total moment = 0.05 μB per cell
offset from the most stable computed form = 94 meV/atom
DFT formation energy = 0.116 eV/atom
ρ = 8.6 g/cm3


Entry 2:
A geometry-optimized SmHo7Er4 structure, computed with GGA-PBE.

a b c (Å): 6.6565 6.6565 12.5586
angles (deg): 114.97 114.97 51.81
Sites, in units of the cell vectors:
Sm  0.0000  0.0000  0.0000
Ho  0.0587  0.0587  0.3280
Ho  0.2113  0.2113  0.9228
Ho  0.3652  0.3652  0.4966
Ho  0.5000  0.5000  0.0000
Ho  0.6348  0.6348  0.5034
Ho  0.7887  0.7887  0.0772
Ho  0.9413  0.9413  0.6720
Er  0.2509  0.2509  0.6847
Er  0.3670  0.3670  0.2256
Er  0.6330  0.6330  0.7744
Er  0.7491  0.7491  0.3153

size of the total moment = 0.00 μB per cell
offset from the most stable computed form = 289 meV/atom
DFT formation energy = 0.287 eV/atom
ρ = 8.5 g/cm3


Entry 3:
A geometry-optimized SmHo2Er9 structure, computed with GGA-PBE.

a b c (Å): 11.1174 11.1174 3.4831
angles (deg): 90.00 90.00 120.00
Sites, in units of the cell vectors:
Sm  0.0000  0.0000  0.0000
Ho  0.3333  0.6667  0.0000
Ho  0.6667  0.3333  0.0000
Er  0.0000  0.5000  0.0000
Er  0.1778  0.3557  0.5000
Er  0.1778  0.8222  0.5000
Er  0.3557  0.1778  0.5000
Er  0.5000  0.0000  0.0000
Er  0.5000  0.5000  0.0000
Er  0.6443  0.8222  0.5000
Er  0.8222  0.1778  0.5000
Er  0.8222  0.6443  0.5000

size of the total moment = 0.00 μB per cell
offset from the most stable computed form = 22 meV/atom
DFT formation energy = 0.046 eV/atom
ρ = 8.8 g/cm3


Entry 4:
A geometry-optimized Sm6Ho12Er structure, computed with GGA-PBE.

a b c (Å): 8.6847 8.6847 8.6847
angles (deg): 98.66 98.66 98.66
Sites, in units of the cell vectors:
Sm  0.1573  0.5971  0.5971
Sm  0.4029  0.4029  0.8427
Sm  0.4029  0.8427  0.4029
Sm  0.5971  0.1573  0.5971
Sm  0.5971  0.5971  0.1573
Sm  0.8427  0.4029  0.4029
Ho  0.0000  0.2576  0.7424
Ho  0.0000  0.7424  0.2576
Ho  0.1449  0.1449  0.4175
Ho  0.1449  0.4175  0.1449
Ho  0.2576  0.0000  0.7424
Ho  0.2576  0.7424  0.0000
Ho  0.4175  0.1449  0.1449
Ho  0.5825  0.8551  0.8551
Ho  0.7424  0.0000  0.2576
Ho  0.7424  0.2576  0.0000
Ho  0.8551  0.5825  0.8551
Ho  0.8551  0.8551  0.5825
Er  0.5000  0.5000  0.5000

size of the total moment = 0.00 μB per cell
offset from the most stable computed form = 91 meV/atom
DFT formation energy = 0.216 eV/atom
ρ = 8.0 g/cm3


Entry 5:
A geometry-optimized Sm2HoEr2 structure, computed with GGA-PBE.

a b c (Å): 8.0769 8.0769 6.0162
angles (deg): 102.52 102.52 110.40
Sites, in units of the cell vectors:
Sm  0.1079  0.2601  0.3705
Sm  0.2601  0.1079  0.8705
Sm  0.7399  0.8921  0.1295
Sm  0.8921  0.7399  0.6295
Ho  0.4372  0.5628  0.2500
Ho  0.5628  0.4372  0.7500
Er  0.1701  0.8299  0.2500
Er  0.3047  0.6953  0.7500
Er  0.6953  0.3047  0.2500
Er  0.8299  0.1701  0.7500

size of the total moment = 0.00 μB per cell
offset from the most stable computed form = 186 meV/atom
DFT formation energy = 0.284 eV/atom
ρ = 7.8 g/cm3


Entry 6:
A geometry-optimized Sm12HoEr5 structure, computed with GGA-PBE.

a b c (Å): 10.7480 5.0803 10.7670
angles (deg): 90.00 90.20 90.00
Sites, in units of the cell vectors:
Sm  0.0014  0.0000  0.1679
Sm  0.1654  0.5000  0.6655
Sm  0.1681  0.5000  0.0013
Sm  0.3321  0.0000  0.4987
Sm  0.3348  0.0000  0.8347
Sm  0.4986  0.5000  0.3319
Sm  0.5014  0.5000  0.6681
Sm  0.6652  0.0000  0.1653
Sm  0.6679  0.0000  0.5013
Sm  0.8319  0.5000  0.9987
Sm  0.8346  0.5000  0.3345
Sm  0.9986  0.0000  0.8321
Ho  0.0000  0.0000  0.5000
Er  0.1668  0.5000  0.3332
Er  0.3333  0.0000  0.1667
Er  0.5000  0.5000  0.0000
Er  0.6667  0.0000  0.8333
Er  0.8332  0.5000  0.6668

size of the total moment = 0.00 μB per cell
DFT formation energy = 0.020 eV/atom
ρ = 7.9 g/cm3


Entry 7:
A geometry-optimized SmHo2Er5 structure, computed with GGA-PBE.

a b c (Å): 7.0520 14.1085 4.9760
angles (deg): 90.00 90.00 90.00
Sites, in units of the cell vectors:
Sm  0.0000  0.0000  0.0000
Sm  0.5000  0.5000  0.0000
Ho  0.2494  0.3745  0.5000
Ho  0.2506  0.8745  0.5000
Ho  0.7494  0.1255  0.5000
Ho  0.7506  0.6255  0.5000
Er  0.9998  0.2508  0.0000
Er  0.0000  0.5000  0.0000
Er  0.0002  0.7492  0.0000
Er  0.2503  0.1257  0.5000
Er  0.2497  0.6257  0.5000
Er  0.5000  0.0000  0.0000
Er  0.4998  0.2492  0.0000
Er  0.5002  0.7508  0.0000
Er  0.7503  0.3743  0.5000
Er  0.7497  0.8743  0.5000

size of the total moment = 0.00 μB per cell
DFT formation energy = 0.018 eV/atom
ρ = 8.8 g/cm3


Entry 8:
A geometry-optimized Sm4HoEr6 structure, computed with GGA-PBE.

a b c (Å): 9.6647 9.6647 9.6647
angles (deg): 140.15 140.15 57.63
Sites, in units of the cell vectors:
Sm  0.0138  0.6364  0.0000
Sm  0.3636  0.3636  0.3773
Sm  0.6364  0.0138  0.0000
Sm  0.9862  0.9862  0.6227
Ho  0.0000  0.0000  0.0000
Er  0.0000  0.5000  0.5000
Er  0.1947  0.1947  0.6428
Er  0.4481  0.8053  0.0000
Er  0.5000  0.0000  0.5000
Er  0.5519  0.5519  0.3572
Er  0.8053  0.4481  0.0000

size of the total moment = 0.00 μB per cell
offset from the most stable computed form = 0 meV/atom
DFT formation energy = 0.302 eV/atom
ρ = 8.0 g/cm3


Entry 9:
A geometry-optimized SmHo5Er3 structure, computed with GGA-PBE.

a b c (Å): 9.2515 9.2515 12.1348
angles (deg): 126.03 126.03 50.71
Sites, in units of the cell vectors:
Sm  0.2353  0.2353  0.1292
Sm  0.7647  0.7647  0.8708
Ho  0.1234  0.1234  0.5659
Ho  0.1424  0.7292  0.2202
Ho  0.2708  0.8576  0.7798
Ho  0.2988  0.2988  0.9285
Ho  0.3209  0.6791  0.0000
Ho  0.6791  0.3209  0.0000
Ho  0.7012  0.7012  0.0715
Ho  0.7292  0.1424  0.2202
Ho  0.8576  0.2708  0.7798
Ho  0.8766  0.8766  0.4341
Er  0.0000  0.0000  0.0000
Er  0.1717  0.1717  0.3387
Er  0.3792  0.3792  0.6837
Er  0.5000  0.5000  0.5000
Er  0.6208  0.6208  0.3163
Er  0.8283  0.8283  0.6613

size of the total moment = 0.00 μB per cell
offset from the most stable computed form = 297 meV/atom
DFT formation energy = 0.430 eV/atom
ρ = 8.0 g/cm3


Entry 10:
A geometry-optimized Sm2HoEr structure, computed with GGA-PBE.

a b c (Å): 5.6909 5.6909 5.6909
angles (deg): 60.00 60.00 60.00
Sites, in units of the cell vectors:
Sm  0.2500  0.2500  0.2500
Sm  0.7500  0.7500  0.7500
Ho  0.0000  0.0000  0.0000
Er  0.5000  0.5000  0.5000

size of the total moment = 0.00 μB per cell
offset from the most stable computed form = 112 meV/atom
DFT formation energy = 0.123 eV/atom
ρ = 8.1 g/cm3


Entry 11:
A geometry-optimized SmHo9Er2 structure, computed with GGA-PBE.

a b c (Å): 11.1534 11.1534 3.4871
angles (deg): 90.00 90.00 120.00
Sites, in units of the cell vectors:
Sm  0.0000  0.0000  0.0000
Ho  0.0000  0.5000  0.0000
Ho  0.1779  0.3558  0.5000
Ho  0.1779  0.8221  0.5000
Ho  0.3558  0.1779  0.5000
Ho  0.5000  0.0000  0.0000
Ho  0.5000  0.5000  0.0000
Ho  0.6442  0.8221  0.5000
Ho  0.8221  0.1779  0.5000
Ho  0.8221  0.6442  0.5000
Er  0.3333  0.6667  0.0000
Er  0.6667  0.3333  0.0000

size of the total moment = 0.00 μB per cell
offset from the most stable computed form = 21 meV/atom
DFT formation energy = 0.043 eV/atom
ρ = 8.7 g/cm3


Entry 12:
A geometry-optimized Sm3Ho2Er structure, computed with GGA-PBE.

a b c (Å): 7.2011 7.2033 8.8798
angles (deg): 78.24 78.21 60.06
Sites, in units of the cell vectors:
Sm  0.1394  0.1389  0.1669
Sm  0.1396  0.6389  0.1649
Sm  0.2510  0.2493  0.5017
Sm  0.7490  0.7507  0.4983
Sm  0.8604  0.3611  0.8351
Sm  0.8606  0.8611  0.8331
Ho  0.3625  0.8603  0.8334
Ho  0.3632  0.3607  0.8316
Ho  0.6368  0.6393  0.1684
Ho  0.6375  0.1397  0.1666
Er  0.2511  0.7488  0.5012
Er  0.7489  0.2512  0.4988

size of the total moment = 0.00 μB per cell
offset from the most stable computed form = 7 meV/atom
DFT formation energy = 0.005 eV/atom
ρ = 8.1 g/cm3


Entry 13:
A geometry-optimized Sm3Ho5Er2 structure, computed with GGA-PBE.

a b c (Å): 9.5286 9.5286 9.3967
angles (deg): 108.37 108.37 112.01
Sites, in units of the cell vectors:
Sm  0.0198  0.2671  0.0453
Sm  0.2341  0.7659  0.7500
Sm  0.2671  0.0198  0.5453
Sm  0.7329  0.9802  0.4547
Sm  0.7659  0.2341  0.2500
Sm  0.9802  0.7329  0.9547
Ho  0.0271  0.9729  0.7500
Ho  0.1503  0.3734  0.7712
Ho  0.2714  0.7286  0.2500
Ho  0.3734  0.1503  0.2712
Ho  0.4696  0.5304  0.2500
Ho  0.5304  0.4696  0.7500
Ho  0.6266  0.8497  0.7288
Ho  0.7286  0.2714  0.7500
Ho  0.8497  0.6266  0.2288
Ho  0.9729  0.0271  0.2500
Er  0.2295  0.4643  0.4525
Er  0.4643  0.2295  0.9525
Er  0.5357  0.7705  0.0475
Er  0.7705  0.5357  0.5475

size of the total moment = 0.00 μB per cell
offset from the most stable computed form = 0 meV/atom
DFT formation energy = 0.198 eV/atom
ρ = 8.2 g/cm3


Entry 14:
A geometry-optimized Sm3Ho3Er4 structure, computed with GGA-PBE.

a b c (Å): 3.6588 9.3668 9.3668
angles (deg): 89.83 90.00 90.00
Sites, in units of the cell vectors:
Sm  0.0000  0.0000  0.0000
Sm  0.0000  0.4989  0.8467
Sm  0.0000  0.8467  0.4989
Ho  0.0000  0.3471  0.3471
Ho  0.5000  0.1746  0.6693
Ho  0.5000  0.6693  0.1746
Er  0.5000  0.0505  0.2994
Er  0.5000  0.2994  0.0505
Er  0.5000  0.5474  0.5474
Er  0.5000  0.7982  0.7982

size of the total moment = 0.00 μB per cell
DFT formation energy = 0.095 eV/atom
ρ = 8.4 g/cm3


Entry 15:
A geometry-optimized Sm4Ho3Er2 structure, computed with GGA-PBE.

a b c (Å): 7.9768 7.9768 7.9748
angles (deg): 107.45 107.45 36.79
Sites, in units of the cell vectors:
Sm  0.0545  0.0545  0.3315
Sm  0.2774  0.2774  0.6678
Sm  0.7226  0.7226  0.3322
Sm  0.9455  0.9455  0.6685
Ho  0.3886  0.3886  0.3311
Ho  0.5000  0.5000  0.0000
Ho  0.6114  0.6114  0.6689
Er  0.1670  0.1670  0.9998
Er  0.8330  0.8330  0.0002

size of the total moment = 0.00 μB per cell
offset from the most stable computed form = 0 meV/atom
DFT formation energy = 0.020 eV/atom
ρ = 8.2 g/cm3


Entry 16:
A geometry-optimized Sm7Ho6Er16 structure, computed with GGA-PBE.

a b c (Å): 10.9676 10.9676 10.9676
angles (deg): 60.00 60.00 60.00
Sites, in units of the cell vectors:
Sm  0.0000  0.0000  0.0000
Sm  0.0000  0.0000  0.5000
Sm  0.0000  0.5000  0.0000
Sm  0.0000  0.5000  0.5000
Sm  0.5000  0.0000  0.0000
Sm  0.5000  0.0000  0.5000
Sm  0.5000  0.5000  0.0000
Ho  0.2242  0.2242  0.7758
Ho  0.2242  0.7758  0.2242
Ho  0.2242  0.7758  0.7758
Ho  0.7758  0.2242  0.2242
Ho  0.7758  0.2242  0.7758
Ho  0.7758  0.7758  0.2242
Er  0.1491  0.1491  0.1491
Er  0.1491  0.1491  0.5527
Er  0.1491  0.5527  0.1491
Er  0.1594  0.6135  0.6135
Er  0.3865  0.3865  0.3865
Er  0.3865  0.3865  0.8406
Er  0.3865  0.8406  0.3865
Er  0.4473  0.8509  0.8509
Er  0.5527  0.1491  0.1491
Er  0.6135  0.1594  0.6135
Er  0.6135  0.6135  0.1594
Er  0.6135  0.6135  0.6135
Er  0.8406  0.3865  0.3865
Er  0.8509  0.4473  0.8509
Er  0.8509  0.8509  0.4473
Er  0.8509  0.8509  0.8509

size of the total moment = 0.00 μB per cell
DFT formation energy = 0.187 eV/atom
ρ = 8.4 g/cm3


Entry 17:
A geometry-optimized Sm6Ho2Er3 structure, computed with GGA-PBE.

a b c (Å): 17.0321 17.0321 17.0321
angles (deg): 163.99 163.99 22.72
Sites, in units of the cell vectors:
Sm  0.1205  0.6205  0.5000
Sm  0.1991  0.1991  0.0000
Sm  0.3795  0.8795  0.5000
Sm  0.6205  0.1205  0.5000
Sm  0.8009  0.8009  0.0000
Sm  0.8795  0.3795  0.5000
Ho  0.0454  0.0454  0.0000
Ho  0.9546  0.9546  0.0000
Er  0.3018  0.3018  0.0000
Er  0.5000  0.5000  0.0000
Er  0.6982  0.6982  0.0000

size of the total moment = 0.00 μB per cell
DFT formation energy = 0.299 eV/atom
ρ = 7.7 g/cm3


Entry 18:
A geometry-optimized Sm3Ho4Er5 structure, computed with GGA-PBE.

a b c (Å): 8.4683 8.4683 9.2241
angles (deg): 114.42 114.42 40.52
Sites, in units of the cell vectors:
Sm  0.0000  0.0000  0.0000
Sm  0.2916  0.2916  0.7687
Sm  0.7084  0.7084  0.2313
Ho  0.2900  0.2900  0.1224
Ho  0.4185  0.4185  0.5587
Ho  0.5815  0.5815  0.4413
Ho  0.7100  0.7100  0.8776
Er  0.0732  0.0732  0.6970
Er  0.1726  0.1726  0.3878
Er  0.5000  0.5000  0.0000
Er  0.8274  0.8274  0.6122
Er  0.9268  0.9268  0.3030

size of the total moment = 0.29 μB per cell
offset from the most stable computed form = 224 meV/atom
DFT formation energy = 0.243 eV/atom
ρ = 8.4 g/cm3